Compound: SrPr2Pt
Source: Alexandria
Functional: PBE
Structure: optimized geometry Values from VASP.

Structure (Quantum ESPRESSO input):
```
&SYSTEM
  ibrav = 0, nat = 4, ntyp = 3
/
ATOMIC_SPECIES
Sr 87.62 Sr.upf
Pt 195.08 Pt.upf
Pr 140.91 Pr.upf
ATOMIC_POSITIONS crystal
Sr 0.500 0.500 0.500
Pt 0.000 0.000 0.000
Pr 0.281 0.281 0.157
Pr 0.719 0.719 0.843
CELL_PARAMETERS angstrom
-4.125 0.960 0.300
-2.911 -3.090 -0.090
-1.805 -1.510 10.060
```

## Properties
For the density, the calculation gives 5.982 g cm⁻³. The value obtained for the formation enthalpy at 0 K is -1.95 eV per formula unit. The total magnetization is 0.0 μB per cell. The calculation puts the calculated volume at 39.18 A^3/atom. The energy above the most stable polymorph in this dataset comes out at 29 meV per atom.

Compound: HfVCo6
Source: Alexandria
Functional: PBE
Structure: optimized geometry Values from VASP.

Structure (Quantum ESPRESSO input):
```
&SYSTEM
  ibrav = 0, nat = 32, ntyp = 3
/
ATOMIC_SPECIES
V 50.94 V.upf
Hf 178.49 Hf.upf
Co 58.93 Co.upf
ATOMIC_POSITIONS crystal
V 0.000 0.000 0.750
V 0.000 0.000 0.250
V 0.744 0.256 0.500
Hf 0.500 0.500 0.749
Co 0.117 0.361 0.868
Co 0.887 0.631 0.381
Co 0.883 0.639 0.132
Co 0.361 0.117 0.868
Co 0.756 0.244 0.261
Hf 0.255 0.745 0.000
Co 0.887 0.631 0.619
Co 0.244 0.756 0.261
Co 0.244 0.756 0.739
Co 0.639 0.883 0.868
Co 0.000 0.000 0.500
Co 0.631 0.887 0.381
Co 0.361 0.117 0.132
Co 0.369 0.113 0.619
Co 0.639 0.883 0.132
Co 0.500 0.500 0.500
Hf 0.745 0.255 0.000
Co 0.113 0.369 0.381
Hf 0.500 0.500 0.251
Co 0.117 0.361 0.132
Co 0.631 0.887 0.619
Co 0.756 0.244 0.739
Co 0.000 0.000 0.000
Co 0.500 0.500 0.000
Co 0.369 0.113 0.381
Co 0.883 0.639 0.868
V 0.256 0.744 0.500
Co 0.113 0.369 0.619
CELL_PARAMETERS angstrom
-2.903 3.156 4.600
-4.258 -3.088 -3.447
0.919 -8.174 6.187
```

## Properties
For the density, the calculation gives 10.097 g cm⁻³. The value obtained for the formation enthalpy at 0 K is -1.50 eV per formula unit. The total magnetization is 17.9 μB per cell. The calculation puts the calculated volume at 11.99 A^3/atom.